(1)
HfCr2Ge | PBE-GGA | optimized geometry

Structure (CIF):
```
data_HfCr2Ge
_symmetry_space_group_name_H-M 'I -4 2 d'
_symmetry_Int_Tables_number 122
_symmetry_space_group_name_Hall 'I -4 2bw'
_cell_length_a 7.148
_cell_length_b 7.148
_cell_length_c 5.415
_cell_angle_alpha 90.00
_cell_angle_beta 90.00
_cell_angle_gamma 90.00
loop_
_atom_site_label
_atom_site_type_symbol
_atom_site_fract_x
_atom_site_fract_y
_atom_site_fract_z
Hf1 Hf 0.000 0.000 0.000
Cr1 Cr 0.204 0.750 0.625
Ge1 Ge 0.000 0.000 0.500
```

(2)
# HfCrGe2 | Alexandria via LeMat-Bulk | PBE-GGA | optimized geometry
data_HfCrGe2
_symmetry_space_group_name_H-M 'P b a m'
_symmetry_Int_Tables_number 55
_symmetry_space_group_name_Hall '-P 2 2ab'
_cell_length_a 9.241
_cell_length_b 9.994
_cell_length_c 8.191
_cell_angle_alpha 90.00
_cell_angle_beta 90.00
_cell_angle_gamma 90.00
loop_
_atom_site_label
_atom_site_type_symbol
_atom_site_fract_x
_atom_site_fract_y
_atom_site_fract_z
Hf1 Hf 0.166 0.180 0.000
Hf2 Hf 0.171 0.452 0.245
Cr1 Cr 0.000 0.000 0.244
Cr2 Cr 0.079 0.755 0.249
Ge1 Ge 0.039 0.625 0.500
Ge2 Ge 0.042 0.621 0.000
Ge3 Ge 0.125 0.907 0.500
Ge4 Ge 0.132 0.900 0.000
Ge5 Ge 0.172 0.181 0.343
# Offset from the most stable computed form   0 meV/atom

| no. | DFT total energy (eV per atom) | energy of formation from the pure elements (eV/atom) |
| --- | --- | --- |
| 1 | -7.90 | 0.56 |
| 2 | -7.63 | -0.43 |